A plane-wave DFT calculation with GGA-PBEsol was carried out for an optimized crystal structure of Sr2AsP2.

CIF file:
```
data_Sr2AsP2
_chemical_formula_sum 'Sr4 As2 P4'
_symmetry_space_group_name_H-M 'P 4/m b m'
_symmetry_Int_Tables_number 127
_symmetry_space_group_name_Hall '-P 4 2ab'
_cell_length_a 7.395
_cell_length_b 7.395
_cell_length_c 4.280
_cell_angle_alpha 90.00
_cell_angle_beta 90.00
_cell_angle_gamma 90.00
loop_
_atom_site_label
_atom_site_type_symbol
_atom_site_fract_x
_atom_site_fract_y
_atom_site_fract_z
_atom_site_occupancy
Sr1 Sr 0.187 0.313 0.000 1
As1 As 0.000 0.000 0.500 1
P1 P 0.105 0.605 0.500 1
```

Calculated values
Volume ... 234.1 Å³ per cell
Final energy ... -4.848 eV per atom
Energy of formation ... -17.9 kcal/mol of atoms
Density ... 4.43 g/cm3